Entry from the Alexandria database: a relaxed structure of Ce2GaI (GGA-PBE).

- distance to the lowest polymorph of the same formula (meV per atom) = 18
- crystal system = tetragonal
- total magnetization (μB per formula unit) = 2.740
- E_form (uncorrected) (eV per atom) = -0.58

Cell and atoms, written as CIF:
```
data_Ce2GaI
_symmetry_space_group_name_H-M 'P 4/m m m'
_symmetry_Int_Tables_number 123
_symmetry_space_group_name_Hall '-P 4 2'
_cell_length_a 3.6463
_cell_length_b 3.6463
_cell_length_c 8.1953
_cell_angle_alpha 90.00
_cell_angle_beta 90.00
_cell_angle_gamma 90.00
loop_
_atom_site_label
_atom_site_type_symbol
_atom_site_fract_x
_atom_site_fract_y
_atom_site_fract_z
_atom_site_occupancy
Ce1 Ce 0.0000 0.0000 0.2271 1
Ga1 Ga 0.5000 0.5000 0.0000 1
I1 I 0.5000 0.5000 0.5000 1
```